CaMgI2O8 | PBE-GGA | optimized geometry

For the raw formation energy, the calculation gives -0.96 eV per atom. The calculation puts the magnetization at 0.037 Bohr magnetons per cell. The volume comes out at 15.04 A^3/atom.

The structure belongs to space group I-4m2 (No. 119); the cell edges are 7.349, 7.349 and 6.681 Å and the angles 90.00°, 90.00° and 90.00°. Symmetry generates all atoms from Ca at (0.000, 0.000, 0.000), Mg at (0.000, 0.500, 0.250), I at (0.000, 0.000, 0.500), I at (0.000, 0.500, 0.750), O at (0.000, 0.193, 0.310) and O at (0.000, 0.319, 0.948).



CdTcPb2 | PBE-GGA | optimized geometry

The calculation puts the magnetization at 4.144 Bohr magnetons per cell. As for the energy of formation: 619 meV/atom. The volume comes out at 23.40 A^3/atom.

The structure belongs to space group I4/mmm (No. 139); the cell edges are 4.597, 4.597 and 8.858 Å and the angles 90.00°, 90.00° and 90.00°. Symmetry generates all atoms from Cd at (0.000, 0.000, 0.000), Tc at (0.000, 0.000, 0.500) and Pb at (0.000, 0.500, 0.250).



Pr5Tl2Sb | PBE-GGA | optimized geometry

For the raw formation energy, the calculation gives -0.49 eV per atom. The calculation puts the magnetization at 0.005 Bohr magnetons per cell. For the energy above the most stable polymorph in this dataset, the calculation gives 0.0 meV/atom. The volume comes out at 31.99 A^3/atom.

The structure belongs to space group I4/mcm (No. 140); the cell edges are 8.751, 8.751 and 13.367 Å and the angles 90.00°, 90.00° and 90.00°. Symmetry generates all atoms from Pr at (0.000, 0.000, 0.000), Pr at (0.160, 0.340, 0.152), Tl at (0.138, 0.362, 0.500) and Sb at (0.000, 0.000, 0.250).



TlZn2Ga4 | PBE-GGA | optimized geometry

The calculation puts the magnetization at 0.000 Bohr magnetons per cell. As for the energy of formation: 46 meV/atom. The volume comes out at 19.82 A^3/atom.

The structure belongs to space group C2/m (No. 12); the cell edges are 9.159, 6.897 and 5.034 Å and the angles 90.00°, 119.23° and 90.00°. Symmetry generates all atoms from Tl at (0.000, 0.000, 0.000), Zn at (0.011, 0.500, 0.258) and Ga at (0.197, 0.198, 0.702).



La2TlMo | PBE-GGA | optimized geometry

The calculation puts the magnetization at 4.122 Bohr magnetons per cell. As for the energy of formation: 246 meV/atom. For the energy above the most stable polymorph in this dataset, the calculation gives 86.7 meV/atom. The volume comes out at 27.54 A^3/atom.

The structure belongs to space group Fm-3m (No. 225); the cell edges are 7.610, 7.610 and 7.610 Å and the angles 90.00°, 90.00° and 90.00°. Symmetry generates all atoms from La at (0.250, 0.250, 0.250), Tl at (0.000, 0.000, 0.000) and Mo at (0.000, 0.000, 0.500).



BaMgTa3 | PBE-GGA | optimized geometry

The calculation puts the magnetization at 1.695 Bohr magnetons per cell. As for the energy of formation: 1969 meV/atom. For the energy above the most stable polymorph in this dataset, the calculation gives 0.0 meV/atom. The volume comes out at 25.75 A^3/atom.

The structure belongs to space group Pm-3m (No. 221); the cell edges are 5.050, 5.050 and 5.050 Å and the angles 90.00°, 90.00° and 90.00°. Symmetry generates all atoms from Ba at (0.000, 0.000, 0.000), Mg at (0.500, 0.500, 0.500) and Ta at (0.000, 0.500, 0.500).



Pm3Er3In2 | PBE-GGA | optimized geometry

The calculation puts the magnetization at 0.000 Bohr magnetons per cell. As for the energy of formation: -161 meV/atom. For the energy above the most stable polymorph in this dataset, the calculation gives 103.0 meV/atom. The volume comes out at 31.01 A^3/atom.

The structure belongs to space group Cmcm (No. 63); the cell edges are 5.133, 11.825 and 16.348 Å and the angles 90.00°, 90.00° and 90.00°. Symmetry generates all atoms from Pm at (0.000, 0.041, 0.104), Pm at (0.000, 0.265, 0.250), Er at (0.000, 0.360, 0.038), Er at (0.000, 0.456, 0.750) and In at (0.000, 0.238, 0.633).



NdSm2Y3Sb6 | PBE-GGA | optimized geometry

For the raw formation energy, the calculation gives -1.17 eV per atom. The calculation puts the magnetization at 0.000 Bohr magnetons per cell. The volume comes out at 30.96 A^3/atom.

The structure belongs to space group C2/m (No. 12); the cell edges are 7.696, 13.330 and 7.683 Å and the angles 90.00°, 109.49° and 90.00°. Symmetry generates all atoms from Nd at (0.000, 0.000, 0.000), Sm at (0.000, 0.333, 0.000), Y at (0.000, 0.166, 0.500), Y at (0.000, 0.500, 0.500), Sb at (0.247, 0.332, 0.744) and Sb at (0.250, 0.000, 0.744).



LaTiTl2 | PBE-GGA | optimized geometry

The calculation puts the magnetization at 0.002 Bohr magnetons per cell. As for the energy of formation: 337 meV/atom. For the energy above the most stable polymorph in this dataset, the calculation gives 334.1 meV/atom. The volume comes out at 30.88 A^3/atom.

The structure belongs to space group I-42d (No. 122); the cell edges are 5.007, 5.007 and 19.706 Å and the angles 90.00°, 90.00° and 90.00°. Symmetry generates all atoms from La at (0.000, 0.000, 0.000), Ti at (0.000, 0.000, 0.500) and Tl at (0.170, 0.250, 0.625).



UInBi | PBE-GGA | optimized geometry

The calculation puts the magnetization at 15.559 Bohr magnetons per cell. As for the energy of formation: 87 meV/atom. For the energy above the most stable polymorph in this dataset, the calculation gives 0.0 meV/atom. The volume comes out at 26.72 A^3/atom.

The structure belongs to space group F222 (No. 22); the cell edges are 6.014, 9.347 and 11.408 Å and the angles 90.00°, 90.00° and 90.00°. Symmetry generates all atoms from U at (0.000, 0.133, 0.000), In at (0.250, 0.086, 0.250), Bi at (0.000, 0.000, 0.500) and Bi at (0.250, 0.250, 0.750).



BeZn2SbRu | PBE-GGA | optimized geometry

For the raw formation energy, the calculation gives 0.60 eV per atom. The calculation puts the magnetization at 0.013 Bohr magnetons per cell. The volume comes out at 19.43 A^3/atom.

The structure belongs to space group P4/mmm (No. 123); the cell edges are 4.799, 4.799 and 4.217 Å and the angles 90.00°, 90.00° and 90.00°. Symmetry generates all atoms from Be at (0.000, 0.000, 0.000), Zn at (0.000, 0.500, 0.500), Sb at (0.500, 0.500, 0.000) and Ru at (0.000, 0.000, 0.500).



PuBRh6 | PBE-GGA | optimized geometry

The calculation puts the magnetization at 12.015 Bohr magnetons per cell. As for the energy of formation: -104 meV/atom. The volume comes out at 16.05 A^3/atom.

The structure belongs to space group R-3m (No. 166, hexagonal axes); the cell edges are 5.5613, 5.5613 and 14.3842 Å and the angles 90.00°, 90.00° and 120.00°. Symmetry generates all atoms from Pu at (0.0000, 0.0000, 0.0000), B at (0.0000, 0.0000, 0.5000) and Rh at (0.0196, 0.5098, 0.9125).



- What is the volume in the ninth record?
  30.88 A^3/atom



Copy entry 10 word for word.
UInBi | PBE-GGA | optimized geometry

The calculation puts the magnetization at 15.559 Bohr magnetons per cell. As for the energy of formation: 87 meV/atom. For the energy above the most stable polymorph in this dataset, the calculation gives 0.0 meV/atom. The volume comes out at 26.72 A^3/atom.

The structure belongs to space group F222 (No. 22); the cell edges are 6.014, 9.347 and 11.408 Å and the angles 90.00°, 90.00° and 90.00°. Symmetry generates all atoms from U at (0.000, 0.133, 0.000), In at (0.250, 0.086, 0.250), Bi at (0.000, 0.000, 0.500) and Bi at (0.250, 0.250, 0.750).



- What is the volume in the first record?
  15.04 A^3/atom



- The highest magnetization belongs to which entry?
  UInBi